The following is a PBE calculation of an optimized crystal structure of AcTe8Pb6, from the Alexandria database.

a b c (Å): 11.3973 11.3973 4.8579
angles (deg): 90.00 90.00 120.00
Space group P-3 (No. 147)
Symmetry-distinct sites (fractional):
Ac 0.0000 0.0000 0.0000 [1 per cell]
Te 0.0311 0.7407 0.7316 [6 per cell]
Te 0.3333 0.6667 0.2477 [2 per cell]
Pb 0.1253 0.4626 0.7911 [6 per cell]

D(E_F) (states/eV/cell): 8.13
Raw formation energy (eV per atom): -0.45